A relaxed structure of Ac4Tl3Hg5. Source: the Alexandria database, functional PBE.

Results
Calculated volume ... 34.16 Å³ per atom
Calculated total energy ... -2.31 eV/atom
Fermi-level density of states ... 9.4 states/eV/cell

```
12
Lattice="8.6126 -2.7126 0.0000 8.6126 2.7126 0.0000 -6.7519 0.0000 8.7723" Properties=species:S:1:pos:R:3 pbc="T T T"
Ac -1.0333 0.0000 1.7564
Ac 2.9122 0.0000 2.1234
Ac 7.5611 0.0000 6.6489
Ac 11.5065 0.0000 7.0159
Tl -3.3759 0.0000 4.3862
Tl 1.3643 0.0000 5.1804
Tl 9.1089 0.0000 3.5919
Hg -2.5203 0.0000 7.8813
Hg 0.5331 0.0000 8.1535
Hg 5.2366 0.0000 4.3862
Hg 9.9401 0.0000 0.6188
Hg 12.9936 0.0000 0.8910
```



A relaxed structure of TaHg. Source: the Alexandria database, functional PBE.

Results
Calculated volume ... 19.52 Å³ per atom
Calculated total energy ... -5.66 eV/atom
Fermi-level density of states ... 3.4 states/eV/cell

```
4
Lattice="5.2033 0.0000 0.0000 0.0000 3.0137 0.0000 -1.7355 0.0000 4.9785" Properties=species:S:1:pos:R:3 pbc="T T T"
Ta 0.0000 0.0000 0.0000
Ta 2.6016 1.5068 0.0000
Hg -0.8677 1.5068 2.4892
Hg 1.7339 0.0000 2.4892
```



A relaxed structure of Nd2SmH8. Source: the Alexandria database, functional PBE.

Results
Calculated volume ... 10.63 Å³ per atom
Calculated total energy ... -4.32 eV/atom
Fermi-level density of states ... 1.4 states/eV/cell

```
11
Lattice="-1.9095 2.6762 5.7223 1.9095 -2.6762 5.7223 1.9095 2.6762 -5.7223" Properties=species:S:1:pos:R:3 pbc="T T T"
Nd 0.0000 0.0000 1.9341
Nd 0.0000 0.0000 9.5105
Sm 0.0000 0.0000 5.7223
H 1.9095 1.2912 -1.8144
H 0.0000 1.2602 0.0000
H 1.9095 0.0000 3.8899
H 1.9095 1.2912 1.8144
H 0.0000 1.3850 3.9079
H 0.0000 2.6762 1.8324
H 0.0000 4.0922 0.0000
H 0.0000 1.3850 7.5367
```



A relaxed structure of Na2In. Source: the Alexandria database, functional PBE.

Results
Calculated volume ... 28.56 Å³ per atom
Calculated total energy ... -1.87 eV/atom
Fermi-level density of states ... 3.1 states/eV/cell

```
6
Lattice="9.9986 0.0000 0.0000 0.0000 5.2020 0.0000 -0.4969 0.0000 3.2942" Properties=species:S:1:pos:R:3 pbc="T T T"
Na 1.5600 0.0000 0.4443
Na 2.9424 2.6010 2.8499
Na 6.5593 2.6010 0.4443
Na 7.9417 0.0000 2.8499
In -0.2485 2.6010 1.6471
In 4.7509 0.0000 1.6471
```



A relaxed structure of Li2In2Sn. Source: the Alexandria database, functional PBE.

Results
Calculated volume ... 21.93 Å³ per atom
ΔE to the lowest computed polymorph ... 0.077 eV per atom
Fermi-level density of states ... 5.5 states/eV/cell

```
10
Lattice="7.8972 0.0000 0.0000 0.0000 7.8972 0.0000 0.0000 0.0000 3.5166" Properties=species:S:1:pos:R:3 pbc="T T T"
Li 1.0915 2.8571 0.0000
Li 2.8571 6.8057 0.0000
Li 5.0402 1.0915 0.0000
Li 6.8057 5.0402 0.0000
In 1.2639 5.2126 1.7583
In 2.6847 1.2639 1.7583
In 5.2126 6.6333 1.7583
In 6.6333 2.6847 1.7583
Sn 0.0000 0.0000 0.0000
Sn 3.9486 3.9486 0.0000
```



A relaxed structure of MnCd2Tc. Source: the Alexandria database, functional PBE.

Results
Calculated volume ... 17.51 Å³ per atom
ΔE to the lowest computed polymorph ... 0.200 eV per atom
Fermi-level density of states ... 8.0 states/eV/cell

```
8
Lattice="2.9547 0.0000 0.0000 0.0000 4.8897 0.0000 0.0000 0.0000 9.6941" Properties=species:S:1:pos:R:3 pbc="T T T"
Mn 0.0000 0.0000 0.0000
Mn 1.4773 2.4449 4.8471
Cd 0.0000 0.0000 5.1678
Cd 0.0000 2.4449 7.3583
Cd 1.4773 0.0000 2.5112
Cd 1.4773 2.4449 0.3207
Tc 0.0000 2.4449 2.8984
Tc 1.4773 0.0000 7.7454
```



A relaxed structure of CsDyMnS4. Source: the Alexandria database, functional PBE.

Results
Calculated volume ... 27.45 Å³ per atom
Calculated total energy ... -5.66 eV/atom
Fermi-level density of states ... 4.4 states/eV/cell

```
14
Lattice="6.5983 0.0000 0.0000 0.0000 6.4803 0.0000 -2.8803 0.0000 8.9879" Properties=species:S:1:pos:R:3 pbc="T T T"
Cs 0.2858 1.6201 3.9519
Cs 3.4322 4.8602 5.0361
Dy -0.9714 1.6201 8.5596
Dy 4.6894 4.8602 0.4283
Mn 1.3598 4.8602 1.4592
Mn 2.3582 1.6201 7.5287
S -0.4286 4.8602 2.7083
S -2.2031 4.8602 8.4089
S 0.9134 3.2444 7.2693
S 0.9134 6.4760 7.2693
S 2.8046 0.0043 1.7186
S 2.8046 3.2359 1.7186
S 5.9211 1.6201 0.5790
S 4.1466 1.6201 6.2796
```



A relaxed structure of ThFe12Si6. Source: the Alexandria database, functional PBE.

Results
Calculated volume ... 13.07 Å³ per atom
Calculated total energy ... -7.70 eV/atom
Fermi-level density of states ... 20.9 states/eV/cell

```
19
Lattice="5.2277 3.0182 2.6241 -5.2277 3.0182 2.6241 0.0000 -6.0364 2.6241" Properties=species:S:1:pos:R:3 pbc="T T T"
Th 0.0000 0.0000 0.0000
Fe -1.9591 -3.3932 3.9361
Fe -3.9181 0.0000 3.9361
Fe -1.4180 -0.8187 2.6948
Fe 1.4180 -0.8187 2.6948
Fe 0.0000 1.6374 2.6948
Fe 1.9591 -3.3932 3.9361
Fe -1.9591 3.3932 3.9361
Fe 0.0000 -1.6374 5.1774
Fe -1.4180 0.8187 5.1774
Fe 1.4180 0.8187 5.1774
Fe 3.9181 0.0000 3.9361
Fe 1.9591 3.3932 3.9361
Si 0.0000 -2.7534 3.1326
Si -2.3845 1.3767 3.1326
Si -2.3845 -1.3767 4.7397
Si 2.3845 1.3767 3.1326
Si 2.3845 -1.3767 4.7397
Si 0.0000 2.7534 4.7397
```



A relaxed structure of KSn3I8. Source: the Alexandria database, functional PBE.

Results
Calculated volume ... 45.41 Å³ per atom
Calculated total energy ... -2.71 eV/atom
Fermi-level density of states ... 13.0 states/eV/cell

```
12
Lattice="7.7018 -4.6604 0.0000 7.7018 4.6604 0.0000 -4.9412 0.0000 7.5912" Properties=species:S:1:pos:R:3 pbc="T T T"
K 0.0000 0.0000 0.0000
Sn 1.3803 2.3302 3.7956
Sn 1.3803 -2.3302 3.7956
Sn 7.7018 0.0000 0.0000
I 0.1434 0.0000 5.6698
I 3.9623 2.1461 5.5948
I 2.6966 0.0000 2.1208
I 6.5002 2.1461 1.9965
I 3.9623 -2.1461 5.5948
I 7.7659 0.0000 5.4705
I 6.5002 -2.1461 1.9965
I 10.3191 0.0000 1.9214
```



A relaxed structure of ZnCdNi2H. Source: the Alexandria database, functional PBE.

Results
Calculated volume ... 11.60 Å³ per atom
ΔE to the lowest computed polymorph ... 0.057 eV per atom
Fermi-level density of states ... 1.6 states/eV/cell

```
5
Lattice="3.7792 0.0000 0.0000 0.0000 3.7792 0.0000 0.0000 0.0000 4.0608" Properties=species:S:1:pos:R:3 pbc="T T T"
Zn 0.0000 0.0000 0.0000
Cd 1.8896 1.8896 0.0000
Ni 0.0000 1.8896 2.0304
Ni 1.8896 0.0000 2.0304
H 1.8896 1.8896 2.0304
```



A relaxed structure of AlIrIO2. Source: the Alexandria database, functional PBE.

Results
Calculated volume ... 16.73 Å³ per atom
ΔE to the lowest computed polymorph ... 0.138 eV per atom
Fermi-level density of states ... 4.3 states/eV/cell

```
5
Lattice="3.8907 0.0000 0.0000 0.0000 3.8907 0.0000 0.0000 0.0000 5.5249" Properties=species:S:1:pos:R:3 pbc="T T T"
Al 0.0000 0.0000 0.0000
Ir 0.0000 0.0000 2.7624
I 1.9454 1.9454 0.0000
O 0.0000 1.9454 2.7624
O 1.9454 0.0000 2.7624
```



A relaxed structure of Zr2RuSe. Source: the Alexandria database, functional PBE.

Results
Calculated volume ... 20.47 Å³ per atom
Calculated total energy ... -8.14 eV/atom
Fermi-level density of states ... 2.2 states/eV/cell

```
8
Lattice="6.6718 0.0000 0.0000 0.0000 3.4257 0.0000 -1.6175 0.0000 7.1658" Properties=species:S:1:pos:R:3 pbc="T T T"
Zr 1.0741 0.0000 1.9357
Zr 0.6443 1.7129 5.2301
Zr 4.4101 1.7129 1.9357
Zr 3.9802 0.0000 5.2301
Ru -0.8087 0.0000 3.5829
Ru 2.5272 1.7129 3.5829
Se 0.0000 1.7129 0.0000
Se 3.3359 0.0000 0.0000
```



A relaxed structure of Ca2GaPtS. Source: the Alexandria database, functional PBE.

Results
Calculated volume ... 30.34 Å³ per atom
ΔE to the lowest computed polymorph ... 0.647 eV per atom
Fermi-level density of states ... 1.6 states/eV/cell

```
5
Lattice="5.7992 0.0000 0.0000 0.0000 5.7992 0.0000 0.0000 0.0000 4.5101" Properties=species:S:1:pos:R:3 pbc="T T T"
Ca 0.0000 2.8996 0.0000
Ca 2.8996 0.0000 0.0000
Ga 0.0000 0.0000 0.0000
Pt 2.8996 2.8996 2.2550
S 0.0000 0.0000 2.2550
```



A relaxed structure of La6PrY3. Source: the Alexandria database, functional PBE.

Results
Calculated volume ... 36.05 Å³ per atom
Calculated total energy ... -5.18 eV/atom
Fermi-level density of states ... 38.3 states/eV/cell

```
20
Lattice="6.3183 3.6479 5.2130 -6.3183 3.6479 5.2130 0.0000 -7.2958 5.2130" Properties=species:S:1:pos:R:3 pbc="T T T"
La -4.0129 1.5993 4.0030
La 0.6215 -4.2750 4.0030
La -1.3664 -1.6236 4.6544
La -0.7229 1.9951 4.6544
La -3.3915 -2.6757 11.6359
La 2.0892 -0.3715 4.6544
La -2.0892 0.3715 10.9845
La 3.3915 2.6757 4.0030
La 0.7228 -1.9951 10.9845
La 1.3664 1.6235 10.9845
La -0.6214 4.2750 11.6359
La 4.0129 -1.5993 11.6359
Pr 0.0000 0.0000 0.0000
Pr 0.0000 0.0000 7.8195
Y -2.5225 -2.4449 8.3306
Y -3.3786 0.9621 7.3083
Y 0.8561 -3.4070 7.3083
Y -0.8561 3.4070 8.3306
Y 3.3786 -0.9621 8.3306
Y 2.5225 2.4449 7.3083
```



A relaxed structure of TiNb2TlNi. Source: the Alexandria database, functional PBE.

Results
Calculated volume ... 22.24 Å³ per atom
Calculated total energy ... -5.87 eV/atom
Fermi-level density of states ... 6.0 states/eV/cell

```
5
Lattice="4.6373 0.0000 0.0000 0.0000 4.6373 0.0000 0.0000 0.0000 5.1717" Properties=species:S:1:pos:R:3 pbc="T T T"
Ti 0.0000 0.0000 0.0000
Nb 0.0000 2.3187 0.0000
Nb 2.3187 0.0000 0.0000
Tl 0.0000 0.0000 2.5859
Ni 2.3187 2.3187 2.5859
```